Computed, not measured: a geometry-optimized Y2PbWO8 structure at the PBE with a Hubbard U level of DFT.

Cell: 6.928 7.233 6.856 Å, 90.00 90.00 90.00°
Space group Cmmm (No. 65)
Symmetry-distinct sites (fractional):
Y 0.000 0.000 0.243 x4
Pb 0.000 0.500 0.500 x2
W 0.000 0.500 0.000 x2
O 0.000 0.317 0.214 x8
O 0.203 0.000 0.500 x4
O 0.219 0.000 0.000 x4

Values from the calculation:
Electronic total energy = -7.65 eV per atom
M_tot = 0.00 μB/cell